# 1
TmCd2Ga2: optimized geometry, PBE.

Summary:
**Mass density**: 8.04 g cm⁻³
**Symmetry**: P4/mbm (127)
**Magnetization**: 0.001 μB per atom
**Uncorrected energy**: -2.61 eV per atom

Lattice parameters (Å, degrees): 7.6971 7.6971 3.7156 90.00 90.00 90.00
Closest atoms and distances in Å follow each position.
Fractional positions:
Tm  0.5000  0.5000  0.0000  4 Ga 3.05, 8 Cd 3.39
Tm  0.0000  0.0000  0.0000  4 Ga 3.05, 8 Cd 3.39
Ga  0.8767  0.3767  0.0000  1 Ga 2.68, 6 Cd 2.87-2.99
Ga  0.3767  0.1233  0.0000  1 Ga 2.68, 6 Cd 2.87-2.99
Ga  0.1233  0.6233  0.0000  1 Ga 2.68, 6 Cd 2.87-2.99
Ga  0.6233  0.8767  0.0000  1 Ga 2.68, 6 Cd 2.87-2.99
Cd  0.1759  0.3241  0.5000  6 Ga 2.87-2.99
Cd  0.8241  0.6759  0.5000  6 Ga 2.87-2.99
Cd  0.3241  0.8241  0.5000  6 Ga 2.87-2.99
Cd  0.6759  0.1759  0.5000  6 Ga 2.87-2.99


# 2
NaLaAsIr: optimized geometry, PBE.

Summary:
**Mass density**: 8.08 g cm⁻³
**Symmetry**: F-43m (216)
**Magnetization**: 0.001 μB per atom
**Uncorrected energy**: -5.20 eV per atom

Lattice parameters (Å, degrees): 4.9960 4.9960 4.9960 60.00 60.00 60.00
Closest atoms and distances in Å follow each position.
Fractional positions:
La  0.2500  0.2500  0.2500  4 As 3.06, 4 Ir 3.06
Ir  0.0000  0.0000  0.0000  4 La 3.06, 4 Na 3.06
As  0.5000  0.5000  0.5000  4 La 3.06, 4 Na 3.06
Na  0.7500  0.7500  0.7500  4 As 3.06, 4 Ir 3.06


# 3
LiSmAu: optimized geometry, PBE.

Summary:
**Mass density**: 7.42 g cm⁻³
**Symmetry**: F-43m (216)
**Magnetization**: 0.002 μB per atom
**Uncorrected energy**: -3.34 eV per atom

Lattice parameters (Å, degrees): 4.8211 4.8211 4.8211 60.00 60.00 60.00
Closest atoms and distances in Å follow each position.
Fractional positions:
Sm  0.0000  0.0000  0.0000  4 Li 2.95, 4 Au 2.95
Li  0.7500  0.7500  0.7500  4 Sm 2.95
Au  0.2500  0.2500  0.2500  4 Sm 2.95